[1]
Here is crystalline La2ReC2 at its relaxed geometry from Alexandria. Energies are from PBE.

Cell lengths 5.4782, 6.7472, 10.4756 Å; angles 90.00, 90.00, 90.00 degrees
Atoms (fractional coordinates):
La 0.7500 0.5253 0.2153
C 0.7500 0.4708 0.7565
La 0.7500 0.1948 0.9514
C 0.7500 0.8062 0.0309
C 0.2500 0.5292 0.2435
C 0.2500 0.6938 0.5309
La 0.2500 0.9747 0.7153
La 0.2500 0.4747 0.7847
La 0.7500 0.0253 0.2847
Re 0.2500 0.7680 0.3540
La 0.2500 0.3052 0.4514
C 0.2500 0.1938 0.9691
Re 0.2500 0.2680 0.1460
La 0.2500 0.8052 0.0486
C 0.2500 0.0292 0.2565
Re 0.7500 0.7320 0.8540
C 0.7500 0.3062 0.4691
Re 0.7500 0.2320 0.6460
C 0.7500 0.9708 0.7435
La 0.7500 0.6948 0.5486

Energy relative to the lowest polymorph listed for this composition (kJ/mol of formula units): 0.0
Calculated total energy (eV/atom): -8.3963
Magnetization (μB per formula unit): 0.00
Energy of formation from the pure elements (meV/atom): -246


[2]
Here is crystalline LaRe3C2 at its relaxed geometry from Alexandria. Energies are from PBE.

Cell lengths 3.7766, 6.5688, 8.3588 Å; angles 113.94, 90.00, 106.71 degrees
Atoms (fractional coordinates):
Re 0.9435 0.8869 0.6073
Re 0.6144 0.2288 0.6649
C 0.5281 0.0563 0.2692
Re 0.3856 0.7712 0.3351
C 0.2104 0.4207 0.7851
La 0.1311 0.2622 0.0164
Re 0.7158 0.4315 0.3832
La 0.8689 0.7378 0.9836
C 0.7896 0.5793 0.2149
C 0.4719 0.9437 0.7308
Re 0.2842 0.5685 0.6168
Re 0.0565 0.1131 0.3927

Calculated total energy (eV/atom): -10.0366
Magnetization (μB per formula unit): 0.00
Energy of formation from the pure elements (meV/atom): 83